VASP calculation (GGA-PBE) on a relaxed structure of BaScHg.

Cell lengths 7.153, 7.153, 7.153 Å; angles 148.75, 148.80, 44.74 degrees
Element x y z (fractional)
Hg (0.703, 0.703, 0.000)
Sc (0.286, 0.286, 0.000)
Ba (0.011, 0.011, 0.000)

Formation energy = -0.175 eV per atom
SG = I4mm
Excess energy over the best structure of this formula in the dataset = 102 meV/atom
Density of states at the Fermi level = 3.02 states/eV/f.u.
E_tot = -9.08 eV/cell

VASP calculation (GGA-PBE) on a relaxed structure of Ba2AlHg.

Cell lengths 4.115, 4.115, 9.277 Å; angles 90.00, 90.00, 89.91 degrees
Element x y z (fractional)
Hg (0.000, 0.000, 0.546)
Ba (0.500, 0.500, 0.330)
Ba (0.000, 0.000, 0.924)
Al (0.500, 0.500, 0.700)

Formation energy = -0.091 eV per atom
SG = Cmm2
Excess energy over the best structure of this formula in the dataset = 192 meV/atom
Density of states at the Fermi level = 3.94 states/eV/f.u.
E_tot = -8.26 eV/cell

VASP calculation (GGA-PBE) on a relaxed structure of In2BiPd7.

Cell lengths 4.393, 7.773, 7.773 Å; angles 123.21, 90.00, 90.00 degrees
Element x y z (fractional)
In (0.500, 0.302, 0.698)
In (0.500, 0.698, 0.302)
Bi (0.000, 0.000, 0.000)
Pd (0.500, 0.711, 0.922)
Pd (0.500, 0.078, 0.289)
Pd (0.500, 0.289, 0.078)
Pd (0.000, 0.196, 0.804)
Pd (0.500, 0.922, 0.711)
Pd (0.500, 0.500, 0.500)
Pd (0.000, 0.804, 0.196)

Formation energy = 0.040 eV per atom
SG = Cmmm
Density of states at the Fermi level = 6.80 states/eV/f.u.
E_tot = -45.31 eV/cell

VASP calculation (GGA-PBE) on a relaxed structure of ErGaCoRh.

Cell lengths 4.461, 4.461, 4.461 Å; angles 60.00, 60.00, 60.00 degrees
Element x y z (fractional)
Er (0.750, 0.750, 0.750)
Rh (0.000, 0.000, 0.000)
Ga (0.250, 0.250, 0.250)
Co (0.500, 0.500, 0.500)

Formation energy = -0.545 eV per atom
SG = F-43m
Density of states at the Fermi level = 0.81 states/eV/f.u.
E_tot = -24.23 eV/cell

Q: What is the E_tot in the first record?
A: -9.08 eV/cell